1.
Here is Re3NiGe after structural relaxation from Alexandria via LeMat-Bulk. Energies are from PBE.

Results
- Crystal system: cubic
- Formation enthalpy at 0 K: 1.849 eV per atom
- E_tot: -7.70 eV/atom
- ΔE to the lowest computed polymorph: 0 meV/atom
- Fermi-level density of states: 8.9 states/eV/cell

Cell: 4.453 4.453 4.453 Å, 90.00 90.00 90.00°
Atoms (fractional coordinates):
Re: 0.000 0.500 0.000
Re: 0.000 0.000 0.500
Re: 0.500 0.000 0.000
Ge: 0.500 0.500 0.500
Ni: 0.000 0.000 0.000

2.
Here is AcDyTe2O after structural relaxation from Alexandria via LeMat-Bulk. Energies are from PBE.

Results
- Crystal system: tetragonal
- E_tot: -6.12 eV/atom
- Fermi-level density of states: 2.8 states/eV/cell

Cell: 4.346 4.346 15.827 Å, 90.00 90.00 90.00°
Atoms (fractional coordinates):
Ac: 0.500 0.000 0.578
Ac: 0.000 0.500 0.422
Dy: 0.500 0.000 0.121
Dy: 0.000 0.500 0.879
Te: 0.000 0.500 0.700
Te: 0.000 0.500 0.088
Te: 0.500 0.000 0.912
Te: 0.500 0.000 0.300
O: 0.000 0.000 0.500
O: 0.500 0.500 0.500